! Li3Np2ScTe6 | Alexandria | PBE | relaxed; values from VASP
! volume = 339 Å³/cell
! raw formation energy = -908.4 meV/atom
! density of states at the Fermi level = 22.31 states/eV/f.u.
! SG = C2/m (12)
&SYSTEM
  ibrav = 0, nat = 12, ntyp = 4
/
ATOMIC_SPECIES
Li 6.94 Li.upf
Np 237.00 Np.upf
Sc 44.96 Sc.upf
Te 127.60 Te.upf
CELL_PARAMETERS angstrom
-2.2168 -5.0362 -5.0469
3.6165 -2.2142 6.1454
-6.5887 1.7429 2.9945
ATOMIC_POSITIONS crystal
Li 0.1683 0.8317 0.5000
Li 0.8317 0.1683 0.5000
Li 0.5000 0.5000 0.5000
Np 0.3333 0.6667 0.0000
Np 0.6667 0.3333 0.0000
Sc 0.0000 0.0000 0.0000
Te 0.9152 0.5950 0.7455
Te 0.7645 0.7645 0.2529
Te 0.0848 0.4050 0.2545
Te 0.5950 0.9152 0.7455
Te 0.2355 0.2355 0.7471
Te 0.4050 0.0848 0.2545

=====

! Sm8Y2Th | Alexandria | PBE | relaxed; values from VASP
! volume = 370 Å³/cell
! density of states at the Fermi level = 14.82 states/eV/f.u.
! formation energy from the elements = 2.036 eV per formula unit
! SG = C2/m (12)
&SYSTEM
  ibrav = 0, nat = 11, ntyp = 3
/
ATOMIC_SPECIES
Sm 150.36 Sm.upf
Y 88.91 Y.upf
Th 232.04 Th.upf
CELL_PARAMETERS angstrom
-0.9490 5.8688 -1.4415
-8.5485 -3.4760 2.6210
-4.6801 -1.4693 8.2442
ATOMIC_POSITIONS crystal
Sm 0.3400 0.1038 0.6586
Sm 0.3400 0.6586 0.1038
Sm 0.6600 0.8962 0.3414
Sm 0.2523 0.5250 0.5250
Sm 0.6600 0.3414 0.8962
Sm 0.2574 0.2039 0.2039
Sm 0.7426 0.7961 0.7961
Sm 0.7477 0.4750 0.4750
Y 0.8468 0.3042 0.3042
Y 0.1532 0.6958 0.6958
Th 0.0000 0.0000 0.0000

=====

! CsKTl2 | Alexandria | PBE | relaxed; values from VASP
! volume = 183 Å³/cell
! density of states at the Fermi level = 4.57 states/eV/f.u.
! formation energy from the elements = 0.084 eV per formula unit
! SG = P4/mmm (123)
&SYSTEM
  ibrav = 0, nat = 4, ntyp = 3
/
ATOMIC_SPECIES
Cs 132.91 Cs.upf
Tl 204.38 Tl.upf
K 39.10 K.upf
CELL_PARAMETERS angstrom
4.6539 0.0000 0.0000
0.0000 4.6539 0.0000
0.0000 0.0000 8.4333
ATOMIC_POSITIONS crystal
Cs 0.5000 0.5000 0.5000
Tl 0.0000 0.0000 0.8056
Tl 0.0000 0.0000 0.1944
K 0.5000 0.5000 0.0000

=====

! AcY3Se6 | Alexandria | PBE | relaxed; values from VASP
! volume = 564 Å³/cell
! raw formation energy = -1943.8 meV/atom
! SG = P2_1/m (11)
&SYSTEM
  ibrav = 0, nat = 20, ntyp = 3
/
ATOMIC_SPECIES
Ac 227.00 Ac.upf
Y 88.91 Y.upf
Se 78.96 Se.upf
CELL_PARAMETERS angstrom
-3.2476 -2.4280 1.1867
5.6263 -2.6607 9.9539
-6.7128 9.8417 1.7656
ATOMIC_POSITIONS crystal
Ac 0.7500 0.0525 0.6979
Ac 0.2500 0.9475 0.3021
Y 0.7500 0.4480 0.8348
Y 0.2500 0.5520 0.1652
Y 0.7500 0.6783 0.4992
Y 0.2500 0.3217 0.5008
Y 0.7500 0.1599 0.0890
Y 0.2500 0.8401 0.9110
Se 0.7500 0.4807 0.6124
Se 0.2500 0.5193 0.3876
Se 0.7500 0.9157 0.0893
Se 0.2500 0.0843 0.9107
Se 0.7500 0.3899 0.0534
Se 0.2500 0.6101 0.9466
Se 0.7500 0.7269 0.2687
Se 0.2500 0.2731 0.7313
Se 0.7500 0.1244 0.4649
Se 0.2500 0.8756 0.5351
Se 0.7500 0.7992 0.7505
Se 0.2500 0.2008 0.2495

=====

! K2BaTlH | Alexandria | PBE | relaxed; values from VASP
! volume = 176 Å³/cell
! density of states at the Fermi level = 4.63 states/eV/f.u.
! E_tot = -2.104 eV/atom
! SG = P4/mmm (123)
&SYSTEM
  ibrav = 0, nat = 5, ntyp = 4
/
ATOMIC_SPECIES
K 39.10 K.upf
H 1.01 H.upf
Tl 204.38 Tl.upf
Ba 137.33 Ba.upf
CELL_PARAMETERS angstrom
5.5075 0.0000 0.0000
0.0000 5.5075 0.0000
0.0000 0.0000 5.7910
ATOMIC_POSITIONS crystal
K 0.0000 0.5000 0.0000
K 0.5000 0.0000 0.0000
H 0.0000 0.0000 0.0000
Tl 0.5000 0.5000 0.5000
Ba 0.0000 0.0000 0.5000

=====

! NbTeRhI2 | Alexandria | PBE | relaxed; values from VASP
! volume = 164 Å³/cell
! raw formation energy = 868.2 meV/atom
! density of states at the Fermi level = 18.74 states/eV/f.u.
! SG = P4/mmm (123)
&SYSTEM
  ibrav = 0, nat = 5, ntyp = 4
/
ATOMIC_SPECIES
I 126.90 I.upf
Nb 92.91 Nb.upf
Te 127.60 Te.upf
Rh 102.91 Rh.upf
CELL_PARAMETERS angstrom
-2.9011 3.4880 -3.1384
-1.7268 -4.2246 -3.0990
-4.2653 -0.6329 3.2394
ATOMIC_POSITIONS crystal
I 0.0000 0.5000 0.0000
I 0.5000 0.0000 0.0000
Nb 0.0000 0.0000 0.0000
Te 0.0000 0.0000 0.5000
Rh 0.5000 0.5000 0.5000

=====

! MnBeZnIn2 | Alexandria | PBE | relaxed; values from VASP
! volume = 102 Å³/cell
! density of states at the Fermi level = 2.06 states/eV/f.u.
! formation energy from the elements = 2.817 eV per formula unit
! SG = P4/mmm (123)
&SYSTEM
  ibrav = 0, nat = 5, ntyp = 4
/
ATOMIC_SPECIES
Be 9.01 Be.upf
Zn 65.41 Zn.upf
Mn 54.94 Mn.upf
In 114.82 In.upf
CELL_PARAMETERS angstrom
4.8437 0.0000 0.0000
0.0000 4.3266 0.0000
0.0000 0.0000 4.8437
ATOMIC_POSITIONS crystal
Be 0.0000 0.0000 0.0000
Zn 0.0000 0.5000 0.0000
Mn 0.5000 0.5000 0.5000
In 0.0000 0.0000 0.5000
In 0.5000 0.0000 0.0000

=====

! YBeN2 | Alexandria | PBE | relaxed; values from VASP
! volume = 50 Å³/cell
! raw formation energy = 683.2 meV/atom
! density of states at the Fermi level = 3.19 states/eV/f.u.
! SG = R-3m (166)
&SYSTEM
  ibrav = 0, nat = 4, ntyp = 3
/
ATOMIC_SPECIES
Y 88.91 Y.upf
Be 9.01 Be.upf
N 14.01 N.upf
CELL_PARAMETERS angstrom
-4.5490 2.0779 3.5464
-2.8405 4.6337 2.8370
-4.9549 3.5269 0.7733
ATOMIC_POSITIONS crystal
Y 0.0000 0.0000 0.0000
Be 0.5000 0.5000 0.5000
N 0.8770 0.8770 0.8770
N 0.1230 0.1230 0.1230

=====

! KCaAg2F | Alexandria | PBE | relaxed; values from VASP
! volume = 224 Å³/cell
! raw formation energy = 452.7 meV/atom
! density of states at the Fermi level = 3.48 states/eV/f.u.
! SG = P4/mmm (123)
&SYSTEM
  ibrav = 0, nat = 5, ntyp = 4
/
ATOMIC_SPECIES
Ca 40.08 Ca.upf
K 39.10 K.upf
Ag 107.87 Ag.upf
F 19.00 F.upf
CELL_PARAMETERS angstrom
5.5077 0.0000 0.0000
0.0000 7.3867 0.0000
0.0000 0.0000 5.5077
ATOMIC_POSITIONS crystal
Ca 0.0000 0.5000 0.0000
K 0.0000 0.0000 0.0000
Ag 0.0000 0.0000 0.5000
Ag 0.5000 0.0000 0.0000
F 0.5000 0.5000 0.5000

=====

! NbGaH3 | Alexandria | PBE | relaxed; values from VASP
! volume = 43 Å³/cell
! density of states at the Fermi level = 3.69 states/eV/f.u.
! E_tot = -3.980 eV/atom
! SG = Pm-3m (221)
&SYSTEM
  ibrav = 0, nat = 5, ntyp = 3
/
ATOMIC_SPECIES
H 1.01 H.upf
Nb 92.91 Nb.upf
Ga 69.72 Ga.upf
CELL_PARAMETERS angstrom
-2.8674 1.9882 0.3927
-1.3547 -1.3743 -2.9335
-1.5073 -2.5471 1.8894
ATOMIC_POSITIONS crystal
H 0.0000 0.5000 0.0000
H 0.0000 0.0000 0.5000
H 0.5000 0.0000 0.0000
Nb 0.5000 0.5000 0.5000
Ga 0.0000 0.0000 0.0000

=====

! Rb3Np3TiS8 | Alexandria | PBE | relaxed; values from VASP
! volume = 423 Å³/cell
! raw formation energy = -1367.1 meV/atom
! density of states at the Fermi level = 30.70 states/eV/f.u.
! SG = R-3m (166)
&SYSTEM
  ibrav = 0, nat = 15, ntyp = 4
/
ATOMIC_SPECIES
Rb 85.47 Rb.upf
Np 237.00 Np.upf
Ti 47.87 Ti.upf
S 32.06 S.upf
CELL_PARAMETERS angstrom
-5.6880 3.0021 4.5754
-0.7801 -7.2507 -3.0200
5.9220 0.8175 6.8251
ATOMIC_POSITIONS crystal
Rb 0.0000 0.0000 0.0000
Rb 0.0000 0.5000 0.0000
Rb 0.5000 0.5000 0.0000
Np 0.5000 0.0000 0.5000
Np 0.5000 0.5000 0.5000
Np 0.0000 0.5000 0.5000
Ti 0.0000 0.0000 0.5000
S 0.2689 0.5378 0.3068
S 0.7311 0.4622 0.6932
S 0.7835 0.5671 0.3203
S 0.2165 0.4329 0.6797
S 0.7836 0.0366 0.3203
S 0.2164 0.9634 0.6797
S 0.2530 0.0366 0.3203
S 0.7470 0.9634 0.6797

=====

! LaCeMgGe | Alexandria | PBE | relaxed; values from VASP
! volume = 107 Å³/cell
! density of states at the Fermi level = 8.81 states/eV/f.u.
! formation energy from the elements = -1.238 eV per formula unit
! SG = F-43m (216)
&SYSTEM
  ibrav = 0, nat = 4, ntyp = 4
/
ATOMIC_SPECIES
Ge 72.64 Ge.upf
Mg 24.30 Mg.upf
Ce 140.12 Ce.upf
La 138.91 La.upf
CELL_PARAMETERS angstrom
-4.8776 1.8717 1.0331
-2.3152 -1.0409 4.6817
-0.6559 3.8961 3.5709
ATOMIC_POSITIONS crystal
Ge 0.2500 0.2500 0.2500
Mg 0.7500 0.7500 0.7500
Ce 0.0000 0.0000 0.0000
La 0.5000 0.5000 0.5000

=====

! Th5Sb5Ir | Alexandria | PBE | relaxed; values from VASP
! volume = 371 Å³/cell
! raw formation energy = -715.4 meV/atom
! density of states at the Fermi level = 8.25 states/eV/f.u.
! SG = C2/m (12)
&SYSTEM
  ibrav = 0, nat = 11, ntyp = 3
/
ATOMIC_SPECIES
Th 232.04 Th.upf
Sb 121.76 Sb.upf
Ir 192.22 Ir.upf
CELL_PARAMETERS angstrom
-3.3484 -0.9118 5.3001
5.4739 -5.3387 -1.2464
3.8798 6.9866 3.6531
ATOMIC_POSITIONS crystal
Th 0.8473 0.6947 0.1516
Th 0.8472 0.6944 0.6903
Th 0.5000 0.0000 0.0000
Th 0.1528 0.3056 0.3097
Th 0.1527 0.3053 0.8484
Sb 0.6829 0.3658 0.3357
Sb 0.6603 0.3206 0.8195
Sb 0.0000 0.0000 0.5000
Sb 0.3397 0.6794 0.1805
Sb 0.3171 0.6342 0.6643
Ir 0.0000 0.0000 0.0000

=====

! AlTcH2 | Alexandria | PBE | relaxed; values from VASP
! volume = 37 Å³/cell
! density of states at the Fermi level = 1.88 states/eV/f.u.
! E_tot = -5.135 eV/atom
! SG = R3m (160)
&SYSTEM
  ibrav = 0, nat = 4, ntyp = 3
/
ATOMIC_SPECIES
Al 26.98 Al.upf
Tc 98.00 Tc.upf
H 1.01 H.upf
CELL_PARAMETERS angstrom
-0.5306 -2.8283 0.9176
-0.9834 -2.0674 -1.9701
3.8871 -2.7772 -1.3413
ATOMIC_POSITIONS crystal
Al 0.4885 0.4885 0.5344
Tc 0.6757 0.6757 0.9728
H 0.0578 0.0578 0.8267
H 0.2780 0.2780 0.1661

=====

! Y2BiBr | Alexandria | PBE | relaxed; values from VASP
! volume = 109 Å³/cell
! raw formation energy = -850.4 meV/atom
! density of states at the Fermi level = 2.10 states/eV/f.u.
! SG = Fm-3m (225)
&SYSTEM
  ibrav = 0, nat = 4, ntyp = 3
/
ATOMIC_SPECIES
Y 88.91 Y.upf
Bi 208.98 Bi.upf
Br 79.90 Br.upf
CELL_PARAMETERS angstrom
0.0000 3.7926 3.7926
3.7926 0.0000 3.7926
3.7926 3.7926 0.0000
ATOMIC_POSITIONS crystal
Y 0.2500 0.2500 0.2500
Y 0.7500 0.7500 0.7500
Bi 0.5000 0.5000 0.5000
Br 0.0000 0.0000 0.0000

=====

! Np2InRh9 | Alexandria | PBE | relaxed; values from VASP
! volume = 192 Å³/cell
! density of states at the Fermi level = 20.34 states/eV/f.u.
! formation energy from the elements = -4.046 eV per formula unit
! SG = P4/mmm (123)
&SYSTEM
  ibrav = 0, nat = 12, ntyp = 3
/
ATOMIC_SPECIES
Np 237.00 Np.upf
In 114.82 In.upf
Rh 102.91 Rh.upf
CELL_PARAMETERS angstrom
-0.0182 0.9608 -3.8879
-1.6787 -3.5318 -0.8649
-10.8838 4.8663 1.2535
ATOMIC_POSITIONS crystal
Np 0.0000 0.0000 0.3303
Np 0.0000 0.0000 0.6697
In 0.0000 0.0000 0.0000
Rh 0.5000 0.5000 0.0000
Rh 0.5000 0.5000 0.3335
Rh 0.5000 0.5000 0.6665
Rh 0.5000 0.0000 0.1688
Rh 0.5000 0.0000 0.5000
Rh 0.5000 0.0000 0.8312
Rh 0.0000 0.5000 0.1688
Rh 0.0000 0.5000 0.5000
Rh 0.0000 0.5000 0.8312

=====

! BaZnSbH | Alexandria | PBE | relaxed; values from VASP
! volume = 96 Å³/cell
! E_tot = -3.329 eV/atom
! SG = P3m1 (156)
&SYSTEM
  ibrav = 0, nat = 4, ntyp = 4
/
ATOMIC_SPECIES
Ba 137.33 Ba.upf
Zn 65.41 Zn.upf
Sb 121.76 Sb.upf
H 1.01 H.upf
CELL_PARAMETERS angstrom
-2.8715 0.0138 -3.5846
3.1907 -3.2831 0.3738
-3.3746 -2.9728 2.6918
ATOMIC_POSITIONS crystal
Ba 0.9053 0.8105 0.7984
Zn 0.2386 0.4772 0.2179
Sb 0.5719 0.1438 0.3347
H 0.2386 0.4771 0.8882

=====

! InRuRh | Alexandria | PBE | relaxed; values from VASP
! volume = 49 Å³/cell
! density of states at the Fermi level = 2.87 states/eV/f.u.
! formation energy from the elements = 0.479 eV per formula unit
! SG = P3m1 (156)
&SYSTEM
  ibrav = 0, nat = 3, ntyp = 3
/
ATOMIC_SPECIES
In 114.82 In.upf
Rh 102.91 Rh.upf
Ru 101.07 Ru.upf
CELL_PARAMETERS angstrom
2.9129 0.0000 0.0000
-1.4565 2.5227 0.0000
0.0000 0.0000 6.6161
ATOMIC_POSITIONS crystal
In 0.0000 0.0000 0.0009
Rh 0.6667 0.3333 0.3456
Ru 0.3333 0.6667 0.6535

=====

! BaMnHg2 | Alexandria | PBE | relaxed; values from VASP
! volume = 118 Å³/cell
! density of states at the Fermi level = 3.08 states/eV/f.u.
! formation energy from the elements = 0.509 eV per formula unit
! SG = Imm2 (44)
&SYSTEM
  ibrav = 0, nat = 4, ntyp = 3
/
ATOMIC_SPECIES
Ba 137.33 Ba.upf
Hg 200.59 Hg.upf
Mn 54.94 Mn.upf
CELL_PARAMETERS angstrom
6.0745 -0.0302 -0.0277
2.1173 5.6937 0.0277
-3.6507 -3.4757 3.3902
ATOMIC_POSITIONS crystal
Ba 0.2592 0.7592 0.5000
Hg 0.9822 0.9822 0.0000
Hg 0.7198 0.2198 0.5000
Mn 0.5388 0.5388 0.0000

=====

! Ca3ZnBi | Alexandria | PBE | relaxed; values from VASP
! volume = 174 Å³/cell
! density of states at the Fermi level = 5.49 states/eV/f.u.
! formation energy from the elements = -0.929 eV per formula unit
! SG = Pm-3m (221)
&SYSTEM
  ibrav = 0, nat = 5, ntyp = 3
/
ATOMIC_SPECIES
Zn 65.41 Zn.upf
Ca 40.08 Ca.upf
Bi 208.98 Bi.upf
CELL_PARAMETERS angstrom
-3.9672 -3.5800 1.6064
2.0595 -3.8442 -3.4808
3.3400 -1.8818 4.0545
ATOMIC_POSITIONS crystal
Zn 0.0000 0.0000 0.0000
Ca 0.0000 0.5000 0.0000
Ca 0.0000 0.0000 0.5000
Ca 0.5000 0.0000 0.0000
Bi 0.5000 0.5000 0.5000

=====

! DyEr3Sc8 | Alexandria | PBE | relaxed; values from VASP
! volume = 342 Å³/cell
! density of states at the Fermi level = 23.92 states/eV/f.u.
! formation energy from the elements = 3.572 eV per formula unit
! SG = Immm (71)
&SYSTEM
  ibrav = 0, nat = 12, ntyp = 3
/
ATOMIC_SPECIES
Dy 162.50 Dy.upf
Er 167.26 Er.upf
Sc 44.96 Sc.upf
CELL_PARAMETERS angstrom
7.8223 -1.2525 -1.9470
-5.6843 5.7044 -1.3024
1.3078 1.2525 7.9541
ATOMIC_POSITIONS crystal
Dy 0.0000 0.0000 0.0000
Er 0.5000 0.7514 0.2514
Er 0.5000 0.2486 0.7486
Er 0.0000 0.5000 0.5000
Sc 0.5003 0.2493 0.2510
Sc 0.4997 0.7507 0.7490
Sc 0.0017 0.7507 0.2510
Sc 0.9983 0.2493 0.7490
Sc 0.1754 0.2501 0.4258
Sc 0.8246 0.2504 0.0747
Sc 0.1757 0.7499 0.9253
Sc 0.8243 0.7496 0.5742

=====

! CoBW2 | Alexandria | PBE | relaxed; values from VASP
! volume = 104 Å³/cell
! density of states at the Fermi level = 2.53 states/eV/f.u.
! formation energy from the elements = 1.841 eV per formula unit
! SG = I-42d (122)
&SYSTEM
  ibrav = 0, nat = 8, ntyp = 3
/
ATOMIC_SPECIES
B 10.81 B.upf
Co 58.93 Co.upf
W 183.84 W.upf
CELL_PARAMETERS angstrom
6.2223 0.0000 0.0000
0.0000 6.2223 0.0000
3.1111 3.1111 2.6816
ATOMIC_POSITIONS crystal
B 0.5000 0.5000 0.0000
B 0.2500 0.7500 0.5000
Co 0.0000 0.0000 0.0000
Co 0.7500 0.2500 0.5000
W 0.5924 0.1250 0.2500
W 0.1576 0.6250 0.2500
W 0.3750 0.4076 0.7500
W 0.8750 0.8424 0.7500

=====

! CaAgF5 | Alexandria | PBE | relaxed; values from VASP
! volume = 456 Å³/cell
! raw formation energy = -2215.1 meV/atom
! density of states at the Fermi level = 3.30 states/eV/f.u.
! SG = P2_1/c (14)
&SYSTEM
  ibrav = 0, nat = 28, ntyp = 3
/
ATOMIC_SPECIES
Ca 40.08 Ca.upf
Ag 107.87 Ag.upf
F 19.00 F.upf
CELL_PARAMETERS angstrom
-1.3832 2.3068 -10.1158
-5.5179 -1.1316 0.4965
-4.2130 6.7618 2.1181
ATOMIC_POSITIONS crystal
Ca 0.0187 0.5316 0.7426
Ca 0.5187 0.4684 0.7574
Ca 0.9813 0.4684 0.2574
Ca 0.4813 0.5316 0.2426
Ag 0.7521 0.1210 0.5967
Ag 0.2521 0.8790 0.9033
Ag 0.2479 0.8790 0.4033
Ag 0.7479 0.1210 0.0967
F 0.8880 0.4134 0.5473
F 0.3880 0.5866 0.9527
F 0.1120 0.5866 0.4527
F 0.6120 0.4134 0.0473
F 0.6036 0.3765 0.5044
F 0.1036 0.6235 0.9956
F 0.3964 0.6235 0.4956
F 0.8964 0.3765 0.0044
F 0.4000 0.1221 0.8057
F 0.9000 0.8779 0.6943
F 0.6000 0.8779 0.1943
F 0.1000 0.1221 0.3057
F 0.1282 0.1770 0.8597
F 0.6282 0.8230 0.6403
F 0.8718 0.8230 0.1403
F 0.3718 0.1770 0.3597
F 0.6929 0.1642 0.8355
F 0.1929 0.8358 0.6645
F 0.3071 0.8358 0.1645
F 0.8071 0.1642 0.3355

=====

! LaEr2 | Alexandria | PBE | relaxed; values from VASP
! volume = 197 Å³/cell
! density of states at the Fermi level = 4.92 states/eV/f.u.
! formation energy from the elements = 0.073 eV per formula unit
! SG = P2_1/m (11)
&SYSTEM
  ibrav = 0, nat = 6, ntyp = 2
/
ATOMIC_SPECIES
La 138.91 La.upf
Er 167.26 Er.upf
CELL_PARAMETERS angstrom
-0.0778 2.8486 2.2462
-2.2912 -6.1374 1.8420
8.6246 -3.6766 2.0405
ATOMIC_POSITIONS crystal
La 0.5255 0.7501 0.0518
La 0.4745 0.2499 0.9482
Er 0.8550 0.7499 0.7120
Er 0.1973 0.7500 0.3945
Er 0.8027 0.2500 0.6055
Er 0.1450 0.2501 0.2880